Computed, not measured: crystalline VCdIn2 at its relaxed geometry at the PBE level of DFT.

a b c (Å): 7.928 7.928 6.010
angles (deg): 90.00 90.00 90.00
Space group I-42d (No. 122)
One atom of each set of equivalent atoms:
1 V 0.000 0.000 0.000 (multiplicity 4)
2 Cd 0.000 0.000 0.500 (multiplicity 4)
3 In 0.238 0.750 0.125 (multiplicity 8)

Summary:
The value obtained for the formation enthalpy at 0 K is 0.50 eV per atom. The calculation puts the calculated total energy at -3.3742 eV/atom.



Computed, not measured: crystalline NaHfAl2Te at its relaxed geometry at the PBE level of DFT.

a b c (Å): 5.471 5.471 5.373
angles (deg): 90.00 90.00 90.00
Space group P4/mmm (No. 123)
One atom of each set of equivalent atoms:
1 Na 0.000 0.000 0.000 (multiplicity 1)
2 Hf 0.500 0.500 0.000 (multiplicity 1)
3 Al 0.000 0.500 0.500 (multiplicity 2)
4 Te 0.500 0.500 0.500 (multiplicity 1)

Summary:
The value obtained for the formation energy from raw total energies is 0.88 eV per atom. The calculation puts the calculated total energy at -3.4977 eV/atom.



Computed, not measured: crystalline Cr2TcSe at its relaxed geometry at the PBE level of DFT.

a b c (Å): 2.8756 2.8756 23.2136
angles (deg): 90.00 90.00 120.00
Space group R3m (No. 160, hexagonal axes)
One atom of each set of equivalent atoms:
1 Cr 0.0000 0.0000 0.0000 (multiplicity 3)
2 Cr 0.0000 0.0000 0.2604 (multiplicity 3)
3 Tc 0.0000 0.0000 0.7531 (multiplicity 3)
4 Se 0.0000 0.0000 0.5104 (multiplicity 3)

Summary:
The value obtained for the formation energy from raw total energies is 0.33 eV per atom. The calculation puts the calculated total energy at -7.9480 eV/atom.